# Sc3Al PBEsol optimized geometry
# * E: -24.52 eV/cell
# * ΔH_f (0 K): -0.15 eV per atom
# * DOS(E_F): 5.9 states/eV/f.u.
data_Sc3Al
_space_group_name_H-M_alt 'P m m 2'
_space_group_IT_number 25
_space_group_name_Hall 'P 2 -2'
_cell_length_a 3.182
_cell_length_b 4.932
_cell_length_c 5.414
_cell_angle_alpha 90.00
_cell_angle_beta 90.00
_cell_angle_gamma 90.00
loop_
_atom_site_label
_atom_site_fract_x
_atom_site_fract_y
_atom_site_fract_z
Sc1 0.000 0.000 0.000
Sc2 0.000 0.500 0.350
Sc3 0.500 0.500 0.836
Al1 0.500 0.000 0.518

---

# ScAl3 PBEsol optimized geometry
# * E: -40.75 eV/cell
# * ΔH_f (0 K): -0.37 eV per atom
# * DOS(E_F): 2.1 states/eV/f.u.
data_ScAl3
_space_group_name_H-M_alt 'I 4/m m m'
_space_group_IT_number 139
_space_group_name_Hall '-I 4 2'
_cell_length_a 3.988
_cell_length_b 3.988
_cell_length_c 8.745
_cell_angle_alpha 90.00
_cell_angle_beta 90.00
_cell_angle_gamma 90.00
loop_
_atom_site_label
_atom_site_fract_x
_atom_site_fract_y
_atom_site_fract_z
Sc1 0.000 0.000 0.000
Al1 0.000 0.000 0.500
Al2 0.000 0.500 0.250

---

> Look up the E of the first one.

-24.52 eV/cell